First-principles (PBE with a Hubbard U) data for an optimized crystal structure of PaNiIrO6, as listed in Alexandria via LeMat-Bulk.

Cell: 4.846 4.846 9.618 Å, 90.00 90.00 90.00°
Space group P4_2nm (No. 102)
Unique sites:
Pa  0.000  0.000  0.000 [2 per cell]
Ni  0.000  0.000  0.667 [2 per cell]
Ir  0.000  0.000  0.331 [2 per cell]
O  0.183  0.183  0.492 [4 per cell]
O  0.199  0.199  0.175 [4 per cell]
O  0.215  0.215  0.829 [4 per cell]

Spin magnetization (μB per atom): 0.451
Raw total energy (Ry per atom): -0.5485